[1]
This record from Alexandria via LeMat-Bulk describes a relaxed structure of Mg2OsW. The functional is GGA-PBE.

abc: 2.7399 2.7399 9.2807
angles: 90.00 90.00 110.79
Last column: nearest neighbours and their distance in Å.
Element x y z (fractional)
1 Mg 0.0000 0.0000 0.4895  2 Os 2.71, 4 Mg 2.74, 2 W 2.88
2 Mg 0.0000 0.0000 0.0105  2 Os 2.71, 4 Mg 2.74, 2 W 2.88
3 W 0.5000 0.5000 0.7500  4 W 2.74, 4 Mg 2.88
4 Os 0.5000 0.5000 0.2500  4 Mg 2.71, 4 Os 2.74

Results
Space-group type: Cmmm, No. 65
VASP energy, Ha/atom: -0.237

***

[2]
This record from Alexandria via LeMat-Bulk describes a relaxed structure of Mg2OsW. The functional is GGA-PBE.

abc: 4.4723 4.4723 4.4723
angles: 120.01 120.01 89.97
Last column: nearest neighbours and their distance in Å.
Element x y z (fractional)
1 Os 0.5000 0.5000 0.0000  4 Mg 2.74, 4 W 2.74
2 W 0.7500 0.2500 0.5000  4 Os 2.74, 4 Mg 2.74
3 Mg 0.0000 0.0000 0.0000  4 W 2.74, 4 Mg 2.74
4 Mg 0.2500 0.7500 0.5000  4 Mg 2.74, 4 Os 2.74

Results
Space-group type: F-43m, No. 216
VASP energy, Ha/atom: -0.247

***

[3]
This record from Alexandria via LeMat-Bulk describes a relaxed structure of MgOs2W2. The functional is GGA-PBE.

abc: 7.7455 7.7455 2.8314
angles: 90.00 90.00 90.00
Last column: nearest neighbours and their distance in Å.
Element x y z (fractional)
1 Os 0.1460 0.6460 0.5000  6 W 2.65-2.70, 2 Os 2.83
2 Os 0.6460 0.8540 0.5000  6 W 2.65-2.70, 2 Os 2.83
3 Os 0.8540 0.3540 0.5000  6 W 2.65-2.70, 2 Os 2.83
4 Os 0.3540 0.1460 0.5000  6 W 2.65-2.70, 2 Os 2.83
5 W 0.3564 0.8564 0.0000  6 Os 2.65-2.70, 2 W 2.83
6 W 0.1436 0.3564 0.0000  6 Os 2.65-2.70, 2 W 2.83
7 W 0.8564 0.6436 0.0000  6 Os 2.65-2.70, 2 W 2.83
8 W 0.6436 0.1436 0.0000  6 Os 2.65-2.70, 2 W 2.83
9 Mg 0.5000 0.5000 0.0000  2 Mg 2.83, 4 W 2.98
10 Mg 0.0000 0.0000 0.0000  2 Mg 2.83, 4 W 2.98

Results
Space-group type: P4/mbm, No. 127
VASP energy, Ha/atom: -0.358

***

[4]
This record from Alexandria via LeMat-Bulk describes a relaxed structure of MgZnOs2W. The functional is GGA-PBE.

abc: 4.4880 4.1816 4.4880
angles: 90.00 90.00 90.00
Last column: nearest neighbours and their distance in Å.
Element x y z (fractional)
1 Os 0.5000 0.0000 0.0000  2 Mg 2.24
2 Os 0.0000 0.0000 0.5000  2 Mg 2.24
3 Zn 0.0000 0.5000 0.0000  2 Mg 2.09
4 W 0.5000 0.5000 0.5000  8 Os 3.07, 4 Zn 3.17
5 Mg 0.0000 0.0000 0.0000  2 Zn 2.09, 4 Os 2.24

Results
Space-group type: P4/mmm, No. 123
VASP energy, Ha/atom: -0.206

***

[5]
This record from Alexandria via LeMat-Bulk describes a relaxed structure of MgZnOsW. The functional is GGA-PBE.

abc: 4.4120 4.4120 4.4120
angles: 60.00 60.00 60.00
Last column: nearest neighbours and their distance in Å.
Element x y z (fractional)
1 Zn 0.2500 0.2500 0.2500  4 Mg 2.70, 4 W 2.70
2 Mg 0.0000 0.0000 0.0000  4 Os 2.70, 4 Zn 2.70
3 Os 0.7500 0.7500 0.7500  4 W 2.70, 4 Mg 2.70
4 W 0.5000 0.5000 0.5000  4 Zn 2.70, 4 Os 2.70

Results
Space-group type: F-43m, No. 216
VASP energy, Ha/atom: -0.245

***

[6]
This record from Alexandria via LeMat-Bulk describes a relaxed structure of YMgOs. The functional is GGA-PBE.

abc: 5.8130 6.7358 7.6610
angles: 90.00 90.00 115.56
Last column: nearest neighbours and their distance in Å.
Element x y z (fractional)
1 Y 0.8105 0.6211 0.3935  2 Os 2.80-2.93
2 Y 0.6895 0.3789 0.8935  2 Os 2.80-2.93
3 Y 0.1895 0.3789 0.6065  2 Os 2.80-2.93
4 Y 0.3105 0.6211 0.1065  2 Os 2.80-2.93
5 Os 0.5990 0.1980 0.5385  1 Os 2.48, 2 Mg 2.70
6 Os 0.4010 0.8020 0.4615  1 Os 2.48, 2 Mg 2.70
7 Os 0.9010 0.8020 0.0385  1 Os 2.48, 2 Mg 2.70
8 Os 0.0990 0.1980 0.9615  1 Os 2.48, 2 Mg 2.70
9 Mg 0.6954 0.8908 0.7500  4 Os 2.70-2.87, 2 Mg 2.91
10 Mg 0.8046 0.1092 0.2500  4 Os 2.70-2.87, 2 Mg 2.91
11 Mg 0.1954 0.8908 0.7500  4 Os 2.70-2.87, 2 Mg 2.91
12 Mg 0.3046 0.1092 0.2500  4 Os 2.70-2.87, 2 Mg 2.91

Results
Space-group type: Cmce, No. 64
VASP energy, Ha/atom: -0.236

***

[7]
This record from Alexandria via LeMat-Bulk describes a relaxed structure of Y6MgOs. The functional is GGA-PBE.

abc: 6.9284 6.9314 7.5021
angles: 62.52 62.53 60.01
Last column: nearest neighbours and their distance in Å.
Element x y z (fractional)
1 Y 0.9653 0.5806 0.2443  1 Os 2.69
2 Y 0.2099 0.9654 0.2444  1 Os 2.69
3 Y 0.7901 0.0346 0.7556  1 Os 2.69
4 Y 0.5806 0.2098 0.2443  1 Os 2.69
5 Y 0.0347 0.4194 0.7557  1 Os 2.69
6 Y 0.4194 0.7902 0.7557  1 Os 2.69
7 Os 0.0000 0.0000 0.0000  6 Y 2.69
8 Mg 0.5000 0.5000 0.5000  6 Y 3.08

Results
Space-group type: R-3, No. 148
VASP energy, Ha/atom: -0.232

***

[8]
This record from Alexandria via LeMat-Bulk describes a relaxed structure of Y3MgOs. The functional is GGA-PBE.

abc: 5.8979 5.8979 8.8149
angles: 101.96 101.96 112.38
Last column: nearest neighbours and their distance in Å.
Element x y z (fractional)
1 Os 0.2500 0.2500 0.0000  8 Y 2.85-3.04
2 Os 0.7500 0.7500 0.0000  8 Y 2.85-3.04
3 Mg 0.2920 0.7920 0.5000  1 Mg 2.73
4 Mg 0.7080 0.2080 0.5000  1 Mg 2.73
5 Y 0.0820 0.1942 0.2762  2 Os 2.85
6 Y 0.9180 0.8058 0.7238  2 Os 2.85
7 Y 0.2951 0.7951 0.0902  4 Os 3.04, 2 Y 3.36
8 Y 0.6942 0.5820 0.2762  2 Os 2.85
9 Y 0.3058 0.4180 0.7238  2 Os 2.85
10 Y 0.7049 0.2049 0.9098  4 Os 3.04, 2 Y 3.36

Results
Space-group type: Fmmm, No. 69
VASP energy, Ha/atom: -0.243

***

Number 1: total moment 0.00 μB/atom. Number 2: total moment 0.00 μB/atom. Number 3: total moment 0.00 μB/atom. Number 4: total moment 0.00 μB/atom. Number 5: total moment 0.00 μB/atom. Number 6: total moment 0.00 μB/atom. Number 7: total moment 0.00 μB/atom. Number 8: total moment 0.00 μB/atom.